No. 1
This record from the Alexandria database describes a relaxed InNiAu3 crystal. The functional is PBE.

Unit cell a=4.8359 b=4.8359 c=4.8359 alpha=90.00 beta=90.00 gamma=90.00
Last column: nearest neighbours and their distance in Å.
Fractional coordinates of all 5 atoms:
In: 0.0000 0.0000 0.0000  12 Au 3.42
Ni: 0.5000 0.5000 0.5000  6 Au 2.42
Au: 0.0000 0.5000 0.5000  2 Ni 2.42
Au: 0.5000 0.0000 0.5000  2 Ni 2.42
Au: 0.5000 0.5000 0.0000  2 Ni 2.42

* mass density: 11.22 Mg/m³
* size of the total moment: 0.00 μB/cell
* symmetry: Pm-3m (221)
* polymorph energy (0 for the lowest one): 0 meV per atom
* formation enthalpy at 0 K: 0.4163 eV per atom
* Fermi-level density of states: 0.67 states/eV/atom
* V: 113 Å³ per cell

=====

No. 2
This record from the Alexandria database describes a relaxed In4NiAu crystal. The functional is PBE.

Unit cell a=4.5246 b=4.5246 c=6.5762 alpha=90.00 beta=90.00 gamma=90.00
Last column: nearest neighbours and their distance in Å.
Fractional coordinates of all 6 atoms:
In: 0.0000 0.5000 0.2315  2 Ni 2.73, 2 Au 2.87, 1 In 3.04
In: 0.0000 0.5000 0.7685  2 Ni 2.73, 2 Au 2.87, 1 In 3.04
In: 0.5000 0.0000 0.2315  2 Ni 2.73, 2 Au 2.87, 1 In 3.04
In: 0.5000 0.0000 0.7685  2 Ni 2.73, 2 Au 2.87, 1 In 3.04
Ni: 0.0000 0.0000 0.0000  8 In 2.73
Au: 0.5000 0.5000 0.5000  8 In 2.87

* mass density: 8.82 Mg/m³
* size of the total moment: 0.00 μB/cell
* symmetry: P4/mmm (123)
* polymorph energy (0 for the lowest one): 0 meV per atom
* formation enthalpy at 0 K: -0.1700 eV per atom
* Fermi-level density of states: 0.47 states/eV/atom
* V: 135 Å³ per cell

=====

- formation enthalpy at 0 K of number 1 (InNiAu3)?
  0.4163 eV per atom

=====

- Which value of size of the total moment does entry 2 give?
  0.00 μB/cell